[1]
The following is a PBE calculation of an optimized crystal structure of Cd2GeCl, from Alexandria.

a = 5.0653 Å, b = 5.0653 Å, c = 5.0653 Å
α = 60.00°, β = 60.00°, γ = 60.00°
With the nearest neighbours (Å) after each atom.
Atoms (fractional coordinates):
Cd1 0.7500 0.7500 0.7500  4 Ge 3.10, 4 Cl 3.10
Cl1 0.0000 0.0000 0.0000  8 Cd 3.10
Cd2 0.2500 0.2500 0.2500  4 Ge 3.10, 4 Cl 3.10
Ge1 0.5000 0.5000 0.5000  8 Cd 3.10

Properties
Crystal system: cubic
Total moment: 0.0 μB per cell
V: 92 Å³/f.u.
Theoretical density: 6.02 g/cm3
SG: Fm-3m
Uncorrected formation energy: 0.115 eV per atom

[2]
The following is a PBE calculation of an optimized crystal structure of Cd2GeCl, from Alexandria.

a = 6.4028 Å, b = 6.4028 Å, c = 7.5976 Å
α = 65.08°, β = 65.08°, γ = 90.00°
With the nearest neighbours (Å) after each atom.
Atoms (fractional coordinates):
Cd1 0.8750 0.8998 0.7500  2 Ge 2.64, 2 Cl 2.83
Cd2 0.3750 0.3502 0.7500  2 Ge 2.64, 2 Cl 2.83
Cl1 0.5000 0.5000 0.0000  4 Cd 2.83
Ge1 0.7500 0.2500 0.5000  4 Cd 2.64
Cd3 0.1002 0.6250 0.2500  2 Ge 2.64, 2 Cl 2.83
Ge2 0.0000 0.0000 0.0000  4 Cd 2.64
Cd4 0.6498 0.1250 0.2500  2 Ge 2.64, 2 Cl 2.83
Cl2 0.2500 0.7500 0.5000  4 Cd 2.83

Properties
Crystal system: tetragonal
Total moment: 0.0 μB per cell
V: 125 Å³/f.u.
Theoretical density: 4.42 g/cm3
SG: I-42d
Uncorrected formation energy: -0.124 eV per atom

[3]
The following is a PBE calculation of an optimized crystal structure of Cd2GeCl6, from Alexandria.

a = 6.3627 Å, b = 6.7963 Å, c = 6.7963 Å
α = 120.00°, β = 90.00°, γ = 90.00°
With the nearest neighbours (Å) after each atom.
Atoms (fractional coordinates):
Cl1 0.2728 0.3370 0.3370  2 Cd 2.68, 1 Ge 2.71
Cl2 0.2728 0.6630 0.0000  2 Cd 2.68, 1 Ge 2.71
Ge1 0.5000 0.0000 0.0000  6 Cl 2.71
Cl3 0.2728 0.0000 0.6630  2 Cd 2.68, 1 Ge 2.71
Cd1 0.5000 0.6667 0.3333  6 Cl 2.68
Cl4 0.7272 0.0000 0.3370  2 Cd 2.68, 1 Ge 2.71
Cl5 0.7272 0.3370 0.0000  2 Cd 2.68, 1 Ge 2.71
Cd2 0.5000 0.3333 0.6667  6 Cl 2.68
Cl6 0.7272 0.6630 0.6630  2 Cd 2.68, 1 Ge 2.71

Properties
Crystal system: trigonal
Total moment: 0.0 μB per cell
V: 255 Å³/f.u.
Theoretical density: 3.33 g/cm3
SG: P-31m
Uncorrected formation energy: -0.976 eV per atom

[4]
The following is a PBE calculation of an optimized crystal structure of Cd3GeCl8, from Alexandria.

a = 7.8442 Å, b = 7.8412 Å, c = 7.8389 Å
α = 120.49°, β = 90.00°, γ = 120.01°
With the nearest neighbours (Å) after each atom.
Atoms (fractional coordinates):
Cd1 0.5000 0.0000 0.0000  6 Cl 2.68
Cl1 0.7546 0.0143 0.7723  2 Cd 2.68, 1 Ge 2.71
Cl2 0.7430 0.4860 0.2256  3 Cd 2.68
Cl3 0.7403 0.9857 0.2277  2 Cd 2.68, 1 Ge 2.71
Cd2 0.0000 0.5000 0.0000  6 Cl 2.68
Cl4 0.2570 0.5140 0.7744  3 Cd 2.68
Cd3 0.5000 0.5000 0.0000  6 Cl 2.68
Ge1 0.0000 0.0000 0.0000  6 Cl 2.71
Cl5 0.7545 0.5090 0.7723  2 Cd 2.68, 1 Ge 2.71
Cl6 0.2597 0.0143 0.7723  2 Cd 2.68, 1 Ge 2.71
Cl7 0.2454 0.9857 0.2277  2 Cd 2.68, 1 Ge 2.71
Cl8 0.2455 0.4910 0.2277  2 Cd 2.68, 1 Ge 2.71

Properties
Crystal system: monoclinic
Total moment: 0.0 μB per cell
V: 338 Å³/f.u.
Theoretical density: 3.40 g/cm3
SG: C2/m
Uncorrected formation energy: -1.004 eV per atom

[5]
The following is a PBE calculation of an optimized crystal structure of CdGe2Cl6, from Alexandria.

a = 6.6406 Å, b = 6.8809 Å, c = 11.7276 Å
α = 91.23°, β = 90.00°, γ = 90.00°
With the nearest neighbours (Å) after each atom.
Atoms (fractional coordinates):
Cl1 0.7407 0.2931 0.8611  1 Ge 2.43, 1 Cd 2.67
Cl2 0.2407 0.2069 0.6389  1 Ge 2.43, 1 Cd 2.67
Cd1 0.0000 0.0000 0.5000  6 Cl 2.65-2.71
Cl3 0.7258 0.3771 0.1766  1 Ge 2.43, 1 Cd 2.71
Cl4 0.7145 0.8208 0.9728  1 Ge 2.46, 1 Cd 2.65
Ge1 0.4560 0.9990 0.1781  3 Cl 2.43-2.46
Ge2 0.5440 0.0010 0.8219  3 Cl 2.43-2.46
Cl5 0.2593 0.7069 0.1389  1 Ge 2.43, 1 Cd 2.67
Cl6 0.2742 0.6229 0.8234  1 Ge 2.43, 1 Cd 2.71
Ge3 0.0440 0.4990 0.6781  3 Cl 2.43-2.46
Cl7 0.2855 0.1792 0.0272  1 Ge 2.46, 1 Cd 2.65
Cl8 0.7593 0.7931 0.3611  1 Ge 2.43, 1 Cd 2.67
Cl9 0.2258 0.1229 0.3234  1 Ge 2.43, 1 Cd 2.71
Cl10 0.7742 0.8771 0.6766  1 Ge 2.43, 1 Cd 2.71
Cd2 0.5000 0.5000 0.0000  6 Cl 2.65-2.71
Cl11 0.2145 0.6792 0.5272  1 Ge 2.46, 1 Cd 2.65
Ge4 0.9560 0.5010 0.3219  3 Cl 2.43-2.46
Cl12 0.7855 0.3209 0.4728  1 Ge 2.46, 1 Cd 2.65

Properties
Crystal system: monoclinic
Total moment: 0.0 μB per cell
V: 268 Å³/f.u.
Theoretical density: 2.92 g/cm3
SG: P2_1/c
Uncorrected formation energy: -0.881 eV per atom

[6]
The following is a PBE calculation of an optimized crystal structure of Cd3Ge5Cl16, from Alexandria.

a = 8.0326 Å, b = 8.0326 Å, c = 13.4982 Å
α = 92.69°, β = 92.69°, γ = 58.94°
With the nearest neighbours (Å) after each atom.
Atoms (fractional coordinates):
Cl1 0.5331 0.9681 0.6558  1 Ge 2.43, 1 Cd 2.71
Cl2 0.3008 0.8488 0.3914  1 Ge 2.42, 1 Cd 2.65
Cl3 0.9681 0.5331 0.6558  1 Ge 2.43, 1 Cd 2.71
Ge1 0.6693 0.6693 0.5552  3 Cl 2.43
Cl4 0.4819 0.4819 0.1728  1 Ge 2.44
Cl5 0.1517 0.1517 0.8992  2 Ge 2.54
Cd1 0.8315 0.8315 0.7909  6 Cl 2.59-2.83
Cl6 0.8488 0.3008 0.3914  1 Ge 2.42, 1 Cd 2.65
Cl7 0.1775 0.6834 0.8812  1 Ge 2.44, 1 Cd 2.65
Ge2 0.3425 0.3425 0.0566  3 Cl 2.41-2.44
Cd2 0.6565 0.1524 0.2967  6 Cl 2.57-2.85
Ge3 0.8412 0.3145 0.7926  3 Cl 2.44-2.62
Cl8 0.9975 0.9975 0.6805  2 Ge 2.62, 1 Cd 2.83
Cl9 0.4996 0.0447 0.1463  1 Ge 2.41, 1 Cd 2.68
Cl10 0.0447 0.4996 0.1463  1 Ge 2.41, 1 Cd 2.68
Cd3 0.1524 0.6565 0.2967  6 Cl 2.57-2.85
Cl11 0.6834 0.1775 0.8812  1 Ge 2.44, 1 Cd 2.65
Cl12 0.6814 0.6814 0.8958  1 Cd 2.59, 2 Ge 2.86
Cl13 0.5245 0.5245 0.6469  1 Ge 2.43
Ge4 0.1394 0.1394 0.2935  3 Cl 2.42-2.48
Cl14 0.8240 0.8240 0.3826  2 Cd 2.57
Cl15 0.9909 0.9909 0.1839  1 Ge 2.48
Cl16 0.3449 0.3449 0.3985  2 Cd 2.58
Ge5 0.3145 0.8412 0.7926  3 Cl 2.44-2.62

Properties
Crystal system: monoclinic
Total moment: 0.0 μB per cell
V: 745 Å³/f.u.
Theoretical density: 2.83 g/cm3
SG: Cm
Uncorrected formation energy: -0.894 eV per atom

[7]
The following is a PBE calculation of an optimized crystal structure of CdGe3Cl, from Alexandria.

a = 5.2554 Å, b = 5.2554 Å, c = 5.2554 Å
α = 90.00°, β = 90.00°, γ = 90.00°
With the nearest neighbours (Å) after each atom.
Atoms (fractional coordinates):
Cl1 0.5000 0.5000 0.5000  12 Ge 3.72
Ge1 0.0000 0.0000 0.5000  2 Cd 2.63
Ge2 0.5000 0.0000 0.0000  2 Cd 2.63
Ge3 0.0000 0.5000 0.0000  2 Cd 2.63
Cd1 0.0000 0.0000 0.0000  6 Ge 2.63

Properties
Crystal system: cubic
Total moment: 0.0 μB per cell
V: 145 Å³/f.u.
Theoretical density: 4.18 g/cm3
SG: Pm-3m
Uncorrected formation energy: 0.755 eV per atom

[8]
The following is a PBE calculation of an optimized crystal structure of CdGe3Cl, from Alexandria.

a = 5.0018 Å, b = 5.0018 Å, c = 5.0018 Å
α = 90.00°, β = 90.00°, γ = 90.00°
With the nearest neighbours (Å) after each atom.
Atoms (fractional coordinates):
Cd1 0.5000 0.5000 0.5000  12 Ge 3.54
Ge1 0.5000 0.0000 0.0000  2 Cl 2.50
Ge2 0.0000 0.0000 0.5000  2 Cl 2.50
Ge3 0.0000 0.5000 0.0000  2 Cl 2.50
Cl1 0.0000 0.0000 0.0000  6 Ge 2.50

Properties
Crystal system: cubic
Total moment: 0.0 μB per cell
V: 125 Å³/f.u.
Theoretical density: 4.85 g/cm3
SG: Pm-3m
Uncorrected formation energy: 0.687 eV per atom